(1)
Entry from Alexandria via LeMat-Bulk: crystalline UGe2Rh at its relaxed geometry (PBE-GGA).

As for the formation enthalpy at 0 K: -1.513 eV per formula unit. The value obtained for the size of the total moment is 10.22 Bohr magnetons per cell.

The structure belongs to space group C2/c (No. 15); the cell edges are 5.8838, 10.7443 and 5.5736 Å and the angles 90.00°, 119.91° and 90.00°. The inequivalent atoms are U at (0.0000, 0.1214, 0.2500), Ge at (0.1161, 0.3995, 0.1043) and Rh at (0.0000, 0.2329, 0.7500).

=====

(2)
Entry from Alexandria via LeMat-Bulk: crystalline Ac2EuSb at its relaxed geometry (PBE-GGA).

Its excess energy over the best structure of this formula in the dataset is 0 meV/atom. The value obtained for the size of the total moment is 7.81 Bohr magnetons per cell.

The structure belongs to space group P4/mmm (No. 123); the cell edges are 4.3887, 4.3887 and 7.8504 Å and the angles 90.00°, 90.00° and 90.00°. The inequivalent atoms are Ac at (0.0000, 0.0000, 0.2223), Eu at (0.5000, 0.5000, 0.5000) and Sb at (0.5000, 0.5000, 0.0000).

=====

(3)
Entry from Alexandria via LeMat-Bulk: crystalline Y2Th2SiIr4 at its relaxed geometry (PBE-GGA).

The value obtained for the total energy is -8.037 eV per atom. The value obtained for the size of the total moment is 0.00 Bohr magnetons per cell.

The structure belongs to space group I4/mmm (No. 139); the cell edges are 6.4419, 6.4419 and 9.4058 Å and the angles 90.00°, 90.00° and 90.00°. The inequivalent atoms are Y at (0.0000, 0.5000, 0.2500), Th at (0.0000, 0.0000, 0.1916), Si at (0.0000, 0.0000, 0.5000) and Ir at (0.2420, 0.2420, 0.0000).

=====

(4)
Entry from Alexandria via LeMat-Bulk: crystalline Hf2AlPt at its relaxed geometry (PBE-GGA).

As for the formation enthalpy at 0 K: -0.151 eV per formula unit. The value obtained for the size of the total moment is 0.00 Bohr magnetons per cell.

The structure belongs to space group I-42d (No. 122); the cell edges are 4.0975, 4.0975 and 19.3043 Å and the angles 90.00°, 90.00° and 90.00°. The inequivalent atoms are Hf at (0.2484, 0.2500, 0.1250), Al at (0.0000, 0.0000, 0.0000) and Pt at (0.0000, 0.0000, 0.5000).

=====

(5)
Entry from Alexandria via LeMat-Bulk: crystalline NdEr2Rh at its relaxed geometry (PBE-GGA).

As for the formation enthalpy at 0 K: -0.797 eV per formula unit. Its excess energy over the best structure of this formula in the dataset is 313 meV/atom. The value obtained for the size of the total moment is 0.00 Bohr magnetons per cell.

The structure belongs to space group R-3m (No. 166, hexagonal axes); the cell edges are 4.6103, 4.6103 and 18.0518 Å and the angles 90.00°, 90.00° and 120.00°. The inequivalent atoms are Nd at (0.0000, 0.0000, 0.0000), Er at (0.0000, 0.0000, 0.2179) and Rh at (0.0000, 0.0000, 0.5000).

=====

(6)
Entry from Alexandria via LeMat-Bulk: crystalline Pa8SnOs6 at its relaxed geometry (PBE-GGA).

As for the formation enthalpy at 0 K: -3.338 eV per formula unit. The value obtained for the size of the total moment is 0.00 Bohr magnetons per cell.

The structure belongs to space group P-3 (No. 147); the cell edges are 10.1584, 10.1584 and 3.9007 Å and the angles 90.00°, 90.00° and 120.00°. The inequivalent atoms are Pa at (0.0537, 0.3209, 0.2622), Pa at (0.3333, 0.6667, 0.7555), Sn at (0.0000, 0.0000, 0.0000) and Os at (0.0966, 0.6228, 0.2438).

=====

(7)
Entry from Alexandria via LeMat-Bulk: crystalline SnTeSe3 at its relaxed geometry (PBE-GGA).

Its excess energy over the best structure of this formula in the dataset is 0 meV/atom. The value obtained for the size of the total moment is 0.00 Bohr magnetons per cell.

The structure belongs to space group P6_3mc (No. 186); the cell edges are 4.0652, 4.0652 and 20.5245 Å and the angles 90.00°, 90.00° and 120.00°. The inequivalent atoms are Sn at (0.3333, 0.6667, 0.0000), Te at (0.0000, 0.0000, 0.3026), Se at (0.0000, 0.0000, 0.0730), Se at (0.3333, 0.6667, 0.3843) and Se at (0.3333, 0.6667, 0.7241).

=====

(8)
Entry from Alexandria via LeMat-Bulk: crystalline TeOsRh at its relaxed geometry (PBE-GGA).

Its excess energy over the best structure of this formula in the dataset is 313 meV/atom. The value obtained for the size of the total moment is 0.00 Bohr magnetons per cell.

The structure belongs to space group Amm2 (No. 38); the cell edges are 12.8621, 3.0568 and 5.2952 Å and the angles 90.00°, 90.00° and 90.00°. The inequivalent atoms are Te at (0.1759, 0.0000, 0.0000), Os at (0.3433, 0.0000, 0.3330), Rh at (0.0000, 0.0000, 0.3345) and Rh at (0.5000, 0.0000, 0.9997).

=====

(9)
Entry from Alexandria via LeMat-Bulk: crystalline LiHo4Pu3S8 at its relaxed geometry (PBE-GGA).

The value obtained for the total energy is -7.892 eV per atom. The value obtained for the size of the total moment is 52.35 Bohr magnetons per cell.

The structure belongs to space group R-3m (No. 166, hexagonal axes); the cell edges are 7.8133, 7.8133 and 19.1931 Å and the angles 90.00°, 90.00° and 120.00°. The inequivalent atoms are Li at (0.0000, 0.0000, 0.0000), Ho at (0.0000, 0.0000, 0.5000), Ho at (0.0000, 0.5000, 0.5000), Pu at (0.0000, 0.5000, 0.0000), S at (0.0000, 0.0000, 0.2485) and S at (0.0051, 0.5025, 0.7511).

=====

(10)
Entry from Alexandria via LeMat-Bulk: crystalline CoIr2Se at its relaxed geometry (PBE-GGA).

The value obtained for the total energy is -6.639 eV per atom. The value obtained for the size of the total moment is 1.88 Bohr magnetons per cell.

The structure belongs to space group Cmmm (No. 65); the cell edges are 5.5154, 7.2295 and 2.8584 Å and the angles 90.00°, 90.00° and 90.00°. The inequivalent atoms are Co at (0.0000, 0.0000, 0.0000), Ir at (0.2500, 0.2500, 0.5000) and Se at (0.0000, 0.5000, 0.0000).

=====

(11)
Entry from Alexandria via LeMat-Bulk: crystalline HfNpRhO6 at its relaxed geometry (PBE-GGA).

The value obtained for the total energy is -8.965 eV per atom. The value obtained for the size of the total moment is 4.04 Bohr magnetons per cell.

The structure belongs to space group P-31c (No. 163); the cell edges are 5.4856, 5.4856 and 8.6753 Å and the angles 90.00°, 90.00° and 120.00°. The inequivalent atoms are Hf at (0.3333, 0.6667, 0.2500), Np at (0.3333, 0.6667, 0.7500), Rh at (0.0000, 0.0000, 0.0000) and O at (0.0043, 0.3359, 0.1274).

=====

(12)
Entry from Alexandria via LeMat-Bulk: crystalline LaSnPt4 at its relaxed geometry (PBE-GGA).

As for the formation enthalpy at 0 K: -4.006 eV per formula unit. Its excess energy over the best structure of this formula in the dataset is 114 meV/atom. The value obtained for the size of the total moment is 0.00 Bohr magnetons per cell.

The structure belongs to space group Pmma (No. 51); the cell edges are 7.9946, 4.0976 and 7.2850 Å and the angles 90.00°, 90.00° and 90.00°. The inequivalent atoms are La at (0.2500, 0.0000, 0.1598), Sn at (0.2500, 0.0000, 0.7349), Pt at (0.0000, 0.0000, 0.5000), Pt at (0.0301, 0.5000, 0.8087) and Pt at (0.2500, 0.5000, 0.4656).

=====

(13)
Entry from Alexandria via LeMat-Bulk: crystalline Be2ReMo at its relaxed geometry (PBE-GGA).

As for the formation enthalpy at 0 K: -0.122 eV per formula unit. Its excess energy over the best structure of this formula in the dataset is 210 meV/atom. The value obtained for the size of the total moment is 0.00 Bohr magnetons per cell.

The structure belongs to space group Imm2 (No. 44); the cell edges are 3.1770, 4.0008 and 7.5897 Å and the angles 90.00°, 90.00° and 90.00°. The inequivalent atoms are Be at (0.0000, 0.0000, 0.0000), Be at (0.0000, 0.5000, 0.2967), Re at (0.0000, 0.0000, 0.5317) and Mo at (0.0000, 0.5000, 0.7633).

=====

(14)
Entry from Alexandria via LeMat-Bulk: crystalline CsTe2O2 at its relaxed geometry (PBE-GGA).

Its excess energy over the best structure of this formula in the dataset is 0 meV/atom. The value obtained for the size of the total moment is 0.00 Bohr magnetons per cell.

The structure belongs to space group P4/mbm (No. 127); the cell edges are 9.2452, 9.2452 and 4.1759 Å and the angles 90.00°, 90.00° and 90.00°. The inequivalent atoms are Cs at (0.0000, 0.0000, 0.0000), Te at (0.1069, 0.3931, 0.0000) and O at (0.1295, 0.3705, 0.5000).

=====

(15)
Entry from Alexandria via LeMat-Bulk: crystalline KMg2SiRu at its relaxed geometry (PBE-GGA).

The value obtained for the total energy is -3.882 eV per atom. The value obtained for the size of the total moment is 0.00 Bohr magnetons per cell.

The structure belongs to space group P4/mmm (No. 123); the cell edges are 5.1210, 5.1210 and 4.6224 Å and the angles 90.00°, 90.00° and 90.00°. The inequivalent atoms are K at (0.0000, 0.0000, 0.0000), Mg at (0.0000, 0.5000, 0.5000), Si at (0.5000, 0.5000, 0.0000) and Ru at (0.5000, 0.5000, 0.5000).

=====

(16)
Entry from Alexandria via LeMat-Bulk: crystalline Na3Y3InS8 at its relaxed geometry (PBE-GGA).

The value obtained for the total energy is -5.420 eV per atom. The value obtained for the size of the total moment is 0.03 Bohr magnetons per cell.

The structure belongs to space group R-3m (No. 166, hexagonal axes); the cell edges are 7.8876, 7.8876 and 20.2481 Å and the angles 90.00°, 90.00° and 120.00°. The inequivalent atoms are Na at (0.0000, 0.5000, 0.0000), Y at (0.0000, 0.5000, 0.5000), In at (0.0000, 0.0000, 0.5000), S at (0.0000, 0.0000, 0.2423) and S at (0.0085, 0.5042, 0.2408).

=====

(17)
Entry from Alexandria via LeMat-Bulk: crystalline Nd12Bi6C at its relaxed geometry (PBE-GGA).

As for the formation enthalpy at 0 K: -9.357 eV per formula unit. The value obtained for the size of the total moment is 2.03 Bohr magnetons per cell.

The structure belongs to space group R-3 (No. 148, hexagonal axes); the cell edges are 13.4445, 13.4445 and 12.6078 Å and the angles 90.00°, 90.00° and 120.00°. The inequivalent atoms are Nd at (0.0341, 0.8405, 0.3884), Nd at (0.0578, 0.8796, 0.8813), Bi at (0.0413, 0.6126, 0.3116) and C at (0.0000, 0.0000, 0.0000).

=====

(18)
Entry from Alexandria via LeMat-Bulk: crystalline Re2SbOs at its relaxed geometry (PBE-GGA).

The value obtained for the total energy is -9.570 eV per atom. The value obtained for the size of the total moment is 0.00 Bohr magnetons per cell.

The structure belongs to space group C2/m (No. 12); the cell edges are 9.3843, 2.9495 and 4.7507 Å and the angles 90.00°, 97.96° and 90.00°. The inequivalent atoms are Re at (0.2354, 0.0000, 0.2258), Sb at (0.0000, 0.0000, 0.5000) and Os at (0.0000, 0.5000, 0.0000).

=====

(19)
Entry from Alexandria via LeMat-Bulk: crystalline Sm3Y5Er4 at its relaxed geometry (PBE-GGA).

As for the formation enthalpy at 0 K: 0.254 eV per formula unit. Its excess energy over the best structure of this formula in the dataset is 0 meV/atom. The value obtained for the size of the total moment is 0.00 Bohr magnetons per cell.

The structure belongs to space group P-1 (No. 2); the cell edges are 6.1686, 7.1307 and 8.7239 Å and the angles 90.04°, 90.06° and 90.17°. The inequivalent atoms are Sm at (0.0000, 0.0000, 0.0000), Sm at (0.1657, 0.7482, 0.6663), Y at (0.0000, 0.5000, 0.0000), Y at (0.3324, 0.0000, 0.3343), Y at (0.4991, 0.2510, 0.0000), Er at (0.1673, 0.2515, 0.6664) and Er at (0.3341, 0.5001, 0.3353).

=====

(20)
Entry from Alexandria via LeMat-Bulk: crystalline K2BeRhO at its relaxed geometry (PBE-GGA).

The value obtained for the total energy is -3.574 eV per atom. The value obtained for the size of the total moment is 0.00 Bohr magnetons per cell.

The structure belongs to space group P4/mmm (No. 123); the cell edges are 5.6636, 5.6636 and 3.8151 Å and the angles 90.00°, 90.00° and 90.00°. The inequivalent atoms are K at (0.0000, 0.5000, 0.0000), Be at (0.0000, 0.0000, 0.5000), Rh at (0.5000, 0.5000, 0.5000) and O at (0.5000, 0.5000, 0.0000).